A relaxed structure of CsLiSn3. Source: Alexandria via LeMat-Bulk, functional PBE-GGA.

Values from the calculation:
* ΔE to the lowest computed polymorph: 0.00 eV per formula unit
* VASP energy: -14.352 eV per cell
* ΔE_f: 0.0848 eV/atom
* total magnetic moment: 0.000 μB per cell
* V: 31.16 Å³/atom
* density: 5.286 Mg/m³

Structure (CIF):
```
data_CsLiSn3
_chemical_formula_sum 'Cs1 Li1 Sn3'
_space_group_name_H-M_alt 'P m -3 m'
_space_group_IT_number 221
_space_group_name_Hall '-P 4 2 3'
_cell_length_a 5.381
_cell_length_b 5.381
_cell_length_c 5.381
_cell_angle_alpha 90.00
_cell_angle_beta 90.00
_cell_angle_gamma 90.00
loop_
_atom_site_label
_atom_site_type_symbol
_atom_site_fract_x
_atom_site_fract_y
_atom_site_fract_z
Cs1 Cs 0.000 0.000 0.000
Li1 Li 0.500 0.500 0.500
Sn1 Sn 0.000 0.500 0.500
```

A relaxed structure of LiAsCl2. Source: Alexandria via LeMat-Bulk, functional PBE-GGA.

Values from the calculation:
* ΔE_f (raw): -33.7 kJ/mol of atoms
* ΔE to the lowest computed polymorph: 2.12 eV per formula unit
* VASP energy: -34.962 eV per cell
* total magnetic moment: 0.000 μB per cell
* V: 21.94 Å³/atom
* density: 2.891 Mg/m³

Structure (CIF):
```
data_LiAsCl2
_chemical_formula_sum 'Li3 As3 Cl6'
_space_group_name_H-M_alt 'R -3 m'
_space_group_IT_number 166
_space_group_name_Hall '-R 3 2"'
_cell_length_a 3.3855
_cell_length_b 3.3855
_cell_length_c 26.5219
_cell_angle_alpha 90.00
_cell_angle_beta 90.00
_cell_angle_gamma 120.00
loop_
_atom_site_label
_atom_site_type_symbol
_atom_site_fract_x
_atom_site_fract_y
_atom_site_fract_z
Li1 Li 0.0000 0.0000 0.0000
As1 As 0.0000 0.0000 0.5000
Cl1 Cl 0.0000 0.0000 0.0813
```

A relaxed structure of BeFeCoB. Source: Alexandria via LeMat-Bulk, functional PBE-GGA.

Values from the calculation:
* VASP energy: -107.398 eV per cell
* ΔE_f: -0.2194 eV/atom
* total magnetic moment: 1.978 μB per cell
* V: 8.08 Å³/atom
* density: 6.913 Mg/m³

Structure (CIF):
```
data_BeFeCoB
_chemical_formula_sum 'Be4 Fe4 Co4 B4'
_space_group_name_H-M_alt 'F -4 3 m'
_space_group_IT_number 216
_space_group_name_Hall 'F -4 2 3'
_cell_length_a 5.057
_cell_length_b 5.057
_cell_length_c 5.057
_cell_angle_alpha 90.00
_cell_angle_beta 90.00
_cell_angle_gamma 90.00
loop_
_atom_site_label
_atom_site_type_symbol
_atom_site_fract_x
_atom_site_fract_y
_atom_site_fract_z
Be1 Be 0.000 0.000 0.000
Fe1 Fe 0.250 0.250 0.750
Co1 Co 0.250 0.250 0.250
B1 B 0.000 0.000 0.500
```

A relaxed structure of NdEuMgHg. Source: Alexandria via LeMat-Bulk, functional PBE-GGA.

Values from the calculation:
* VASP energy: -72.109 eV per cell
* ΔE_f: -0.2721 eV/atom
* total magnetic moment: 28.424 μB per cell
* V: 29.47 Å³/atom
* density: 7.339 Mg/m³

Structure (CIF):
```
data_NdEuMgHg
_chemical_formula_sum 'Nd4 Eu4 Mg4 Hg4'
_space_group_name_H-M_alt 'F -4 3 m'
_space_group_IT_number 216
_space_group_name_Hall 'F -4 2 3'
_cell_length_a 7.784
_cell_length_b 7.784
_cell_length_c 7.784
_cell_angle_alpha 90.00
_cell_angle_beta 90.00
_cell_angle_gamma 90.00
loop_
_atom_site_label
_atom_site_type_symbol
_atom_site_fract_x
_atom_site_fract_y
_atom_site_fract_z
Nd1 Nd 0.000 0.000 0.000
Eu1 Eu 0.000 0.000 0.500
Mg1 Mg 0.250 0.250 0.250
Hg1 Hg 0.250 0.250 0.750
```

A relaxed structure of Nb2Pd2Rh. Source: Alexandria via LeMat-Bulk, functional PBE-GGA.

Values from the calculation:
* ΔE to the lowest computed polymorph: 0.00 eV per formula unit
* VASP energy: -78.908 eV per cell
* ΔE_f: -0.3155 eV/atom
* total magnetic moment: 0.000 μB per cell
* V: 16.53 Å³/atom
* density: 10.076 Mg/m³

Structure (CIF):
```
data_Nb2Pd2Rh
_chemical_formula_sum 'Nb4 Pd4 Rh2'
_space_group_name_H-M_alt 'C m m m'
_space_group_IT_number 65
_space_group_name_Hall '-C 2 2'
_cell_length_a 2.835
_cell_length_b 20.520
_cell_length_c 2.841
_cell_angle_alpha 90.00
_cell_angle_beta 90.00
_cell_angle_gamma 90.00
loop_
_atom_site_label
_atom_site_type_symbol
_atom_site_fract_x
_atom_site_fract_y
_atom_site_fract_z
Nb1 Nb 0.000 0.094 0.000
Pd1 Pd 0.000 0.308 0.500
Rh1 Rh 0.000 0.500 0.500
```